Al2Ge2Sb (PBE, relaxed); uncorrected energy = -3.985 eV/atom; total magnetization = 0.0 μB per cell; energy above the lowest structure with this stoichiometry = 0.022 eV/atom
1.0
8.1066 0.0000 0.0000
0.0000 8.1066 0.0000
0.0000 0.0000 3.0693
Al Ge Sb
4 4 2
Direct
0.1386 0.3614 0.0000
0.3614 0.8614 0.0000
0.6386 0.1386 0.0000
0.8614 0.6386 0.0000
0.1565 0.6565 0.5000
0.3435 0.1565 0.5000
0.6565 0.8435 0.5000
0.8435 0.3435 0.5000
0.0000 0.0000 0.5000
0.5000 0.5000 0.5000